(1)
Tm5Tl2HgRu2 | PBE-GGA | optimized geometry

The space group is P4/mbm (No. 127) and the conventional cell measures 11.6086, 11.6086 and 3.6668 Å, with angles of 90.00, 90.00 and 90.00 degrees. Symmetry generates all atoms from Tm at (0.0000, 0.5000, 0.0000), Tm at (0.0758, 0.2086, 0.0000), Tl at (0.1755, 0.6755, 0.5000), Hg at (0.0000, 0.0000, 0.5000) and Ru at (0.1291, 0.3709, 0.5000).


(2)
TlV2HgRu | PBE-GGA | optimized geometry

The space group is P4/mmm (No. 123) and the conventional cell measures 4.6796, 4.6796 and 5.2880 Å, with angles of 90.00, 90.00 and 90.00 degrees. Symmetry generates all atoms from Tl at (0.0000, 0.0000, 0.0000), V at (0.0000, 0.5000, 0.5000), Hg at (0.5000, 0.5000, 0.0000) and Ru at (0.5000, 0.5000, 0.5000).


(3)
YTlHg2Ru | PBE-GGA | optimized geometry

The space group is P4/mmm (No. 123) and the conventional cell measures 5.3057, 5.3057 and 5.1625 Å, with angles of 90.00, 90.00 and 90.00 degrees. Symmetry generates all atoms from Y at (0.0000, 0.0000, 0.0000), Tl at (0.5000, 0.5000, 0.5000), Hg at (0.0000, 0.5000, 0.5000) and Ru at (0.5000, 0.5000, 0.0000).


(4)
Tm5HgRu2 | PBE-GGA | optimized geometry

The space group is I4/mcm (No. 140) and the conventional cell measures 7.6429, 7.6429 and 13.1150 Å, with angles of 90.00, 90.00 and 90.00 degrees. Symmetry generates all atoms from Tm at (0.0000, 0.0000, 0.0000), Tm at (0.1581, 0.3419, 0.1342), Hg at (0.0000, 0.0000, 0.2500) and Ru at (0.1422, 0.3578, 0.5000).


no.,E_form (eV per formula unit),electronic total energy (eV per cell)
1,-3.300,-98.5
2,4.044,-26.1
3,4.621,-14.1
4,-3.676,-179.5